1.
20
Lattice="3.668 -9.937 5.651 6.136 -7.664 -4.708 10.198 -0.530 5.203" Properties=species:S:1:pos:R:3 comment="HfIn2I7, relaxed, DFT PBE" spacegroup="C2/c, No. 15" energy_ev_per_atom=-3.217 pbc="T T T"
Hf 12.651 -11.712 8.069
Hf 7.351 -6.420 -1.924
In 14.943 -15.405 2.964
In 6.346 -10.144 2.055
In 13.656 -7.988 4.090
In 5.059 -2.726 3.181
I 14.016 -11.294 5.501
I 6.941 -10.158 6.938
I 16.136 -9.280 2.477
I 7.920 -3.993 3.883
I 11.106 -7.526 5.689
I 10.555 -12.187 6.213
I 15.060 -13.137 8.676
I 4.942 -4.995 -2.531
I 9.447 -5.944 -0.068
I 8.896 -10.606 0.456
I 12.082 -14.138 2.261
I 3.865 -8.851 3.668
I 13.061 -7.974 -0.793
I 5.986 -6.837 0.643


2.
4
Lattice="0.000 3.765 3.765 3.765 0.000 3.765 3.765 3.765 0.000" Properties=species:S:1:pos:R:3 comment="HfInI2, relaxed, DFT PBE" spacegroup="Fm-3m, No. 225" relative_energy_ev_per_fu=1.16 pbc="T T T"
I 1.882 1.882 1.882
I 5.647 5.647 5.647
Hf 3.765 3.765 3.765
In 0.000 0.000 0.000